Compound: BeTlNF2
Source: the Alexandria database
Functional: GGA-PBE
Structure: optimized geometry

Structure (CIF):
```
data_BeTlNF2
_chemical_formula_sum 'Be1 Tl1 N1 F2'
_symmetry_space_group_name_H-M 'P 4/m m m'
_symmetry_Int_Tables_number 123
_symmetry_space_group_name_Hall '-P 4 2'
_cell_length_a 3.345
_cell_length_b 3.345
_cell_length_c 5.022
_cell_angle_alpha 90.00
_cell_angle_beta 90.00
_cell_angle_gamma 90.00
loop_
_atom_site_label
_atom_site_fract_x
_atom_site_fract_y
_atom_site_fract_z
Be1 0.000 0.000 0.000
Tl1 0.500 0.500 0.500
N1 0.000 0.000 0.500
F1 0.000 0.500 0.000
```

---

Compound: BeTlN2F
Source: the Alexandria database
Functional: GGA-PBE
Structure: optimized geometry

Structure (CIF):
```
data_BeTlN2F
_chemical_formula_sum 'Be1 Tl1 N2 F1'
_symmetry_space_group_name_H-M 'P 4/m m m'
_symmetry_Int_Tables_number 123
_symmetry_space_group_name_Hall '-P 4 2'
_cell_length_a 3.708
_cell_length_b 3.708
_cell_length_c 3.745
_cell_angle_alpha 90.00
_cell_angle_beta 90.00
_cell_angle_gamma 90.00
loop_
_atom_site_label
_atom_site_fract_x
_atom_site_fract_y
_atom_site_fract_z
Be1 0.000 0.000 0.000
Tl1 0.500 0.500 0.500
N1 0.000 0.500 0.000
F1 0.000 0.000 0.500
```

---

Calculated distance to the lowest polymorph of the same formula, 0 0 meV per atom (same order as the records).
Calculated E_form (uncorrected), -1.150 0.314 eV/atom (same order as the records).